{"formula": "LaSm2Y4Mg", "functional": "GGA-PBE", "state": "relaxed", "cell": [[5.0114, 0.0000, 0.0000], [0.0001, 11.2293, -2.2756], [0.0000, 3.0520, 3.9864]], "species": ["La", "Y", "Y", "Y", "Y", "Sm", "Sm", "Mg"], "fractional_positions": [[0.5000, 0.5000, 0.0000], [0.0000, 0.2498, 0.2503], [0.0000, 0.7502, 0.7497], [0.5000, 0.7505, 0.2494], [0.5000, 0.2495, 0.7506], [0.5000, 0.0000, 0.5000], [0.0000, 0.0000, 0.0000], [0.0000, 0.5000, 0.5000]], "e_form_kj_per_mol_fu": 22, "total_energy_ev_per_atom": -5.20, "sg": "P4/mmm (123)", "n_ef_per_ev_atom": 1.5337}